1.
# CrCuSi | the Alexandria database | PBE | optimized geometry
# **V**: 37.8 Å³/cell
# **Formation energy (no corrections)**: -0.051 eV per atom
# **Total magnetization**: 2.411 μB per cell
data_CrCuSi
_cell_length_a 3.9822
_cell_length_b 3.9822
_cell_length_c 2.7503
_cell_angle_alpha 90.00
_cell_angle_beta 90.00
_cell_angle_gamma 120.00
_space_group_name_H-M_alt 'P -6 m 2'
_space_group_IT_number 187
_space_group_name_Hall 'P -6 2'
loop_
_atom_site_label
_atom_site_type_symbol
_atom_site_fract_x
_atom_site_fract_y
_atom_site_fract_z
_atom_site_occupancy
Cr1 Cr 0.0000 0.0000 0.0000 1
Cu1 Cu 0.6667 0.3333 0.5000 1
Si1 Si 0.3333 0.6667 0.5000 1

2.
# ZrS3Cl | the Alexandria database | PBE | optimized geometry
# **V**: 127.1 Å³/cell
# **Formation energy (no corrections)**: -0.233 eV per atom
# **Total magnetization**: 2.994 μB per cell
data_ZrS3Cl
_cell_length_a 5.027
_cell_length_b 5.027
_cell_length_c 5.027
_cell_angle_alpha 90.00
_cell_angle_beta 90.00
_cell_angle_gamma 90.00
_space_group_name_H-M_alt 'P m -3 m'
_space_group_IT_number 221
_space_group_name_Hall '-P 4 2 3'
loop_
_atom_site_label
_atom_site_type_symbol
_atom_site_fract_x
_atom_site_fract_y
_atom_site_fract_z
_atom_site_occupancy
Zr1 Zr 0.000 0.000 0.000 1
S1 S 0.000 0.000 0.500 1
Cl1 Cl 0.500 0.500 0.500 1

3.
# MgZr2Se | the Alexandria database | PBE | optimized geometry
# **V**: 80.6 Å³/cell
# **Formation energy (no corrections)**: -0.442 eV per atom
# **Total magnetization**: 0.000 μB per cell
# **E above lowest polymorph**: 32 meV/atom
data_MgZr2Se
_cell_length_a 3.596
_cell_length_b 4.219
_cell_length_c 5.607
_cell_angle_alpha 90.00
_cell_angle_beta 108.63
_cell_angle_gamma 90.00
_space_group_name_H-M_alt 'P 1 m 1'
_space_group_IT_number 6
loop_
_space_group_symop_operation_xyz
'x,y,z'
'x,-y,z'
loop_
_atom_site_label
_atom_site_type_symbol
_atom_site_fract_x
_atom_site_fract_y
_atom_site_fract_z
_atom_site_occupancy
Mg1 Mg 0.000 0.000 0.000 1
Zr1 Zr 0.425 0.500 0.849 1
Zr2 Zr 0.734 0.000 0.468 1
Se1 Se 0.157 0.500 0.314 1

4.
# CeHoMgAg | the Alexandria database | PBE | optimized geometry
# **V**: 420.0 Å³/cell
# **Formation enthalpy at 0 K**: -30 meV per atom
# **Total magnetization**: 4.762 μB per cell
data_CeHoMgAg
_cell_length_a 7.489
_cell_length_b 7.489
_cell_length_c 7.489
_cell_angle_alpha 90.00
_cell_angle_beta 90.00
_cell_angle_gamma 90.00
_space_group_name_H-M_alt 'F -4 3 m'
_space_group_IT_number 216
_space_group_name_Hall 'F -4 2 3'
loop_
_atom_site_label
_atom_site_type_symbol
_atom_site_fract_x
_atom_site_fract_y
_atom_site_fract_z
_atom_site_occupancy
Ce1 Ce 0.000 0.000 0.000 1
Ho1 Ho 0.000 0.000 0.500 1
Mg1 Mg 0.250 0.250 0.250 1
Ag1 Ag 0.250 0.250 0.750 1

- Look up the total magnetization of the fourth one.
  4.762 μB per cell